DFT (PBE+U) results for crystalline K3CrOs2O9 at its relaxed geometry.

Unit cell a=5.5570 b=5.5570 c=6.8317 alpha=90.00 beta=90.00 gamma=120.00
Positions (direct):
K 0.0000 0.0000 0.0000
K 0.3333 0.6667 0.6596
K 0.6667 0.3333 0.3404
Cr 0.0000 0.0000 0.5000
Os 0.3333 0.6667 0.1660
Os 0.6667 0.3333 0.8340
O 0.0000 0.5000 0.0000
O 0.1706 0.3411 0.3251
O 0.1706 0.8294 0.3251
O 0.3411 0.1706 0.6749
O 0.5000 0.0000 0.0000
O 0.5000 0.5000 0.0000
O 0.6589 0.8294 0.3251
O 0.8294 0.1706 0.6749
O 0.8294 0.6589 0.6749

Values from the calculation:
For the total DFT energy (no corrections), the calculation gives -6.579 eV per atom.


DFT (PBE+U) results for crystalline KCrP2O7 at its relaxed geometry.

Unit cell a=7.4730 b=10.0877 c=8.3133 alpha=90.00 beta=106.99 gamma=90.00
Positions (direct):
K 0.1776 0.1780 0.0577
K 0.1776 0.3220 0.5577
K 0.8224 0.6780 0.4423
K 0.8224 0.8220 0.9423
Cr 0.2366 0.6011 0.2606
Cr 0.2366 0.8989 0.7606
Cr 0.7634 0.1011 0.2394
Cr 0.7634 0.3989 0.7394
P 0.1301 0.5978 0.8302
P 0.1301 0.9022 0.3302
P 0.4387 0.6351 0.6923
P 0.4387 0.8649 0.1923
P 0.5613 0.1351 0.8077
P 0.5613 0.3649 0.3077
P 0.8699 0.0978 0.6698
P 0.8699 0.4022 0.1698
O 0.0061 0.5030 0.2791
O 0.0061 0.9970 0.7791
O 0.0799 0.7361 0.7512
O 0.0799 0.7639 0.2512
O 0.1405 0.5935 0.0133
O 0.1405 0.9065 0.5133
O 0.3193 0.6050 0.5139
O 0.3193 0.8950 0.0139
O 0.3347 0.5579 0.8135
O 0.3347 0.9421 0.3135
O 0.3635 0.0779 0.7620
O 0.3635 0.4221 0.2620
O 0.4515 0.7176 0.2444
O 0.4515 0.7824 0.7444
O 0.5485 0.2176 0.2556
O 0.5485 0.2824 0.7556
O 0.6365 0.5779 0.7380
O 0.6365 0.9221 0.2380
O 0.6653 0.0579 0.6865
O 0.6653 0.4421 0.1865
O 0.6807 0.1050 0.9861
O 0.6807 0.3950 0.4861
O 0.8595 0.0935 0.4867
O 0.8595 0.4065 0.9867
O 0.9201 0.2361 0.7488
O 0.9201 0.2639 0.2488
O 0.9939 0.0030 0.2209
O 0.9939 0.4970 0.7209

Values from the calculation:
For the total DFT energy (no corrections), the calculation gives -7.167 eV per atom.


DFT (PBE+U) results for crystalline K2CrPO6 at its relaxed geometry.

Unit cell a=5.9465 b=5.9465 c=4.7453 alpha=90.00 beta=90.00 gamma=120.00
Positions (direct):
K 0.3333 0.6667 0.2844
K 0.6667 0.3333 0.7156
Cr 0.0000 0.0000 0.0000
P 0.0000 0.0000 0.5000
O 0.1337 0.2674 0.7246
O 0.1337 0.8663 0.7246
O 0.2674 0.1337 0.2754
O 0.7326 0.8663 0.7246
O 0.8663 0.1337 0.2754
O 0.8663 0.7326 0.2754

Values from the calculation:
For the total DFT energy (no corrections), the calculation gives -6.094 eV per atom.


DFT (PBE+U) results for crystalline KCrP2O at its relaxed geometry.

Unit cell a=5.3684 b=5.3684 c=4.4553 alpha=90.00 beta=90.00 gamma=90.00
Positions (direct):
K 0.0000 0.0000 0.0000
Cr 0.5000 0.5000 0.5000
P 0.0000 0.5000 0.0000
P 0.5000 0.0000 0.0000
O 0.0000 0.0000 0.5000

Values from the calculation:
The calculation puts the energy above the lowest structure with this stoichiometry at 1298 meV/atom.


DFT (PBE+U) results for crystalline KCrP2O at its relaxed geometry.

Unit cell a=4.8595 b=4.8595 c=3.6304 alpha=90.00 beta=90.00 gamma=90.00
Positions (direct):
K 0.0000 0.0000 0.0000
Cr 0.5000 0.5000 0.5000
P 0.0000 0.5000 0.5000
P 0.5000 0.0000 0.5000
O 0.5000 0.5000 0.0000

Values from the calculation:
The calculation puts the energy above the lowest structure with this stoichiometry at 0 meV/atom.


DFT (PBE+U) results for crystalline KCrP2O8 at its relaxed geometry.

Unit cell a=4.8934 b=4.8934 c=8.3156 alpha=90.00 beta=90.00 gamma=120.00
Positions (direct):
K 0.0000 0.0000 0.0000
Cr 0.0000 0.0000 0.5000
P 0.3333 0.6667 0.6990
P 0.6667 0.3333 0.3010
O 0.0620 0.3459 0.6356
O 0.2839 0.9380 0.6356
O 0.3333 0.6667 0.8817
O 0.3459 0.2839 0.3644
O 0.6541 0.7161 0.6356
O 0.6667 0.3333 0.1183
O 0.7161 0.0620 0.3644
O 0.9380 0.6541 0.3644

Values from the calculation:
For the total DFT energy (no corrections), the calculation gives -6.841 eV per atom.


DFT (PBE+U) results for crystalline K3PaCr2O8 at its relaxed geometry.

Unit cell a=5.9925 b=5.9925 c=7.7230 alpha=90.00 beta=90.00 gamma=120.00
Positions (direct):
K 0.0000 0.0000 0.0000
K 0.3333 0.6667 0.6834
K 0.6667 0.3333 0.3166
Pa 0.0000 0.0000 0.5000
Cr 0.3333 0.6667 0.2356
Cr 0.6667 0.3333 0.7644
O 0.1702 0.3404 0.3349
O 0.1702 0.8298 0.3349
O 0.3333 0.6667 0.0195
O 0.3404 0.1702 0.6651
O 0.6596 0.8298 0.3349
O 0.6667 0.3333 0.9805
O 0.8298 0.1702 0.6651
O 0.8298 0.6596 0.6651

Values from the calculation:
For the total DFT energy (no corrections), the calculation gives -6.990 eV per atom.


DFT (PBE+U) results for crystalline K2PaCrO6 at its relaxed geometry.

Unit cell a=5.8348 b=5.8348 c=5.8348 alpha=120.13 beta=120.13 gamma=89.78
Positions (direct):
K 0.2500 0.7500 0.5000
K 0.7500 0.2500 0.5000
Pa 0.0000 0.0000 0.0000
Cr 0.5000 0.5000 0.0000
O 0.2561 0.2561 0.5123
O 0.2561 0.7439 0.0000
O 0.2859 0.2859 0.0000
O 0.7141 0.7141 0.0000
O 0.7439 0.2561 0.0000
O 0.7439 0.7439 0.4877

Values from the calculation:
For the total DFT energy (no corrections), the calculation gives -7.129 eV per atom.


no.,magnetization (μB per formula unit)
1,2.80
2,3.00
3,0.99
4,1.40
5,0.00
6,0.99
7,4.00
8,1.02